The following is a GGA-PBEsol calculation of a relaxed ZnRuSe2N crystal, from Alexandria.

Cell lengths 5.019, 5.019, 3.584 Å; angles 90.00, 90.00, 90.00 degrees
Space group P4/mmm (No. 123)
One atom of each set of equivalent atoms:
Zn  0.000  0.000  0.000 x1
Ru  0.500  0.500  0.500 x1
Se  0.000  0.500  0.500 x2
N  0.500  0.500  0.000 x1

## Properties
- formation energy from raw total energies (eV/f.u.) = 1.7
- electronic total energy (eV per atom) = -5.261

***

The following is a GGA-PBEsol calculation of a relaxed Ti3V2CuP6O24 crystal, from Alexandria.

Cell lengths 8.6101, 8.6101, 20.0501 Å; angles 90.00, 90.00, 120.00 degrees
Space group R3 (No. 146, hexagonal axes)
One atom of each set of equivalent atoms:
Ti  0.0000  0.0000  0.0000 x3
Ti  0.0000  0.0000  0.2149 x3
Ti  0.0000  0.0000  0.7104 x3
V  0.0000  0.0000  0.3575 x3
V  0.0000  0.0000  0.8564 x3
Cu  0.0000  0.0000  0.5014 x3
P  0.9998  0.2967  0.6023 x9
P  0.0392  0.6688  0.7721 x9
O  0.0055  0.8099  0.1684 x9
O  0.0108  0.1930  0.6636 x9
O  0.0135  0.8350  0.7821 x9
O  0.0166  0.1810  0.2841 x9
O  0.1246  0.4519  0.2045 x9
O  0.1627  0.4935  0.5985 x9
O  0.1632  0.6899  0.0888 x9
O  0.1660  0.7018  0.7130 x9

## Properties
- formation energy from raw total energies (eV/f.u.) = -82.7
- electronic total energy (eV per atom) = -8.112

***

The following is a GGA-PBEsol calculation of a relaxed Co2ReHg crystal, from Alexandria.

Cell lengths 2.7275, 2.7275, 26.1014 Å; angles 90.00, 90.00, 120.00 degrees
Space group R3m (No. 160, hexagonal axes)
One atom of each set of equivalent atoms:
Co  0.0000  0.0000  0.0000 x3
Co  0.0000  0.0000  0.2630 x3
Re  0.0000  0.0000  0.7425 x3
Hg  0.0000  0.0000  0.5078 x3

## Properties
- E_form (meV per atom) = 475
- electronic total energy (eV per atom) = -6.869

***

The following is a GGA-PBEsol calculation of a relaxed Zn3Ag crystal, from Alexandria.

Cell lengths 5.419, 9.434, 4.566 Å; angles 90.00, 90.00, 90.00 degrees
Space group Cmcm (No. 63)
One atom of each set of equivalent atoms:
Zn  0.000  0.083  0.250 x4
Zn  0.248  0.165  0.750 x8
Ag  0.000  0.411  0.750 x4

## Properties
- E_form (meV per atom) = -44
- electronic total energy (eV per atom) = -2.059

***

The following is a GGA-PBEsol calculation of a relaxed MgSi2Ag crystal, from Alexandria.

Cell lengths 2.801, 4.470, 5.248 Å; angles 90.00, 90.00, 90.00 degrees
Space group Pmm2 (No. 25)
One atom of each set of equivalent atoms:
Mg  0.000  0.000  0.000 x1
Si  0.500  0.000  0.510 x1
Si  0.500  0.500  0.745 x1
Ag  0.500  0.500  0.235 x1

## Properties
- formation energy from raw total energies (eV/f.u.) = 0.4
- electronic total energy (eV per atom) = -4.039

***

The following is a GGA-PBEsol calculation of a relaxed Ag4Pt7 crystal, from Alexandria.

Cell lengths 12.359, 2.751, 11.626 Å; angles 90.00, 120.80, 90.00 degrees
Space group Cm (No. 8)
One atom of each set of equivalent atoms:
Ag  0.000  0.000  0.000 x2
Ag  0.038  0.500  0.816 x2
Ag  0.179  0.000  0.267 x2
Ag  0.406  0.500  0.363 x2
Pt  0.082  0.000  0.631 x2
Pt  0.136  0.500  0.451 x2
Pt  0.230  0.500  0.084 x2
Pt  0.270  0.000  0.906 x2
Pt  0.304  0.500  0.723 x2
Pt  0.360  0.000  0.548 x2
Pt  0.451  0.000  0.182 x2

## Properties
- E_form (meV per atom) = 11
- electronic total energy (eV per atom) = -5.624
- distance to the lowest polymorph of the same formula (kcal/mol of atoms) = 0.47

***

The following is a GGA-PBEsol calculation of a relaxed CaMoCl3 crystal, from Alexandria.

Cell lengths 5.196, 5.196, 5.196 Å; angles 90.00, 90.00, 90.00 degrees
Space group Pm-3m (No. 221)
One atom of each set of equivalent atoms:
Ca  0.000  0.000  0.000 x1
Mo  0.500  0.500  0.500 x1
Cl  0.000  0.000  0.500 x3

## Properties
- formation energy from raw total energies (eV/f.u.) = -2.5
- electronic total energy (eV per atom) = -4.488

***

The following is a GGA-PBEsol calculation of a relaxed Ca4H12Rh3 crystal, from Alexandria.

Cell lengths 7.175, 7.175, 7.175 Å; angles 90.00, 90.00, 90.00 degrees
Space group Im-3m (No. 229)
One atom of each set of equivalent atoms:
Ca  0.250  0.250  0.250 x8
H  0.000  0.000  0.263 x12
H  0.000  0.250  0.500 x12
Rh  0.000  0.000  0.500 x6

## Properties
- electronic total energy (eV per atom) = -4.452

***

The following is a GGA-PBEsol calculation of a relaxed WO2 crystal, from Alexandria.

Cell lengths 4.968, 4.968, 2.673 Å; angles 90.00, 90.00, 90.00 degrees
Space group P4_2/mnm (No. 136)
One atom of each set of equivalent atoms:
W  0.000  0.000  0.000 x2
O  0.220  0.220  0.500 x4

## Properties
- formation energy from raw total energies (eV/f.u.) = -5.7
- electronic total energy (eV per atom) = -10.001

***

The following is a GGA-PBEsol calculation of a relaxed NbHgAs2C crystal, from Alexandria.

Cell lengths 5.029, 5.029, 4.141 Å; angles 90.00, 90.00, 90.00 degrees
Space group P4/mmm (No. 123)
One atom of each set of equivalent atoms:
Nb  0.000  0.000  0.000 x1
Hg  0.500  0.500  0.500 x1
As  0.000  0.500  0.000 x2
C  0.000  0.000  0.500 x1

## Properties
- E_form (meV per atom) = 850
- electronic total energy (eV per atom) = -5.399

***

The following is a GGA-PBEsol calculation of a relaxed TcNi2 crystal, from Alexandria.

Cell lengths 2.526, 13.335, 4.094 Å; angles 90.00, 90.00, 90.00 degrees
Space group Cmcm (No. 63)
One atom of each set of equivalent atoms:
Tc  0.000  0.114  0.250 x4
Ni  0.000  0.220  0.750 x4
Ni  0.000  0.448  0.250 x4

## Properties
- E_form (meV per atom) = -16
- electronic total energy (eV per atom) = -7.877
- distance to the lowest polymorph of the same formula (kcal/mol of atoms) = 0.85

***

The following is a GGA-PBEsol calculation of a relaxed In2POs crystal, from Alexandria.

Cell lengths 2.978, 4.529, 11.444 Å; angles 90.00, 90.00, 90.00 degrees
Space group Imm2 (No. 44)
One atom of each set of equivalent atoms:
In  0.000  0.000  0.000 x2
In  0.000  0.500  0.194 x2
P  0.000  0.000  0.385 x2
Os  0.000  0.500  0.728 x2

## Properties
- E_form (meV per atom) = 157
- electronic total energy (eV per atom) = -5.837

***

The following is a GGA-PBEsol calculation of a relaxed SrMnNb2Re crystal, from Alexandria.

Cell lengths 4.674, 4.674, 4.616 Å; angles 90.00, 90.00, 90.00 degrees
Space group P4/mmm (No. 123)
One atom of each set of equivalent atoms:
Sr  0.000  0.000  0.000 x1
Mn  0.500  0.500  0.500 x1
Nb  0.000  0.500  0.500 x2
Re  0.500  0.500  0.000 x1

## Properties
- E_form (meV per atom) = 926
- electronic total energy (eV per atom) = -8.389

***

Calculated values (g/cm3) of density for the records, taken in order: 6.225 3.401 14.950 8.654 4.761 17.575 2.869 4.325 10.867 7.220 10.376 9.700 8.474.
Calculated values (μB/f.u.) of magnetization for the records, taken in order: 0.000 5.975 3.019 0.000 0.000 0.002 5.000 0.000 0.000 0.001 0.001 0.000 0.001.